Entry 1:
Entry from the Alexandria database: crystalline Ni3WSe at its relaxed geometry (GGA-PBE).

POSCAR file:
```
Ni3WSe
1.0
4.245 0.000 0.000
0.000 4.245 0.000
0.000 0.000 4.245
Ni W Se
3 1 1
Direct
0.000 0.000 0.500
0.000 0.500 0.000
0.500 0.000 0.000
0.500 0.500 0.500
0.000 0.000 0.000
```

Output
Energy above the lowest structure with this stoichiometry: 0 meV/atom
Raw formation energy: 1.022 eV per atom

***

Entry 2:
Entry from the Alexandria database: crystalline CePaIr2 at its relaxed geometry (GGA-PBE).

POSCAR file:
```
CePaIr2
1.0
3.480 0.000 0.000
0.000 3.480 0.000
0.000 0.000 7.122
Ce Pa Ir
1 1 2
Direct
0.000 0.000 0.000
0.000 0.000 0.500
0.500 0.500 0.284
0.500 0.500 0.716
```

Output
Energy relative to the elements: -0.685 eV per atom
Energy above the lowest structure with this stoichiometry: 172 meV/atom

***

Entry 3:
Entry from the Alexandria database: crystalline Dy4CdPtRh2 at its relaxed geometry (GGA-PBE).

POSCAR file:
```
Dy4CdPtRh2
1.0
2.486 1.435 8.135
-2.486 1.435 8.135
0.000 -2.871 8.135
Dy Cd Pt Rh
4 1 1 2
Direct
0.120 0.120 0.120
0.371 0.371 0.371
0.629 0.629 0.629
0.880 0.880 0.880
0.500 0.500 0.500
0.000 0.000 0.000
0.247 0.247 0.247
0.753 0.753 0.753
```

Output
Energy relative to the elements: -0.797 eV per atom